[1]
A relaxed structure of KLi2NpF8, computed with PBE-GGA.

```
KLi2NpF8
1.0
5.919 0.000 0.000
-2.960 5.126 0.000
0.000 0.000 7.317
K Li Np F
1 2 1 8
direct
0.000 0.000 0.000
0.333 0.667 0.615
0.667 0.333 0.385
0.000 0.000 0.500
0.154 0.307 0.692
0.154 0.846 0.692
0.307 0.154 0.308
0.333 0.667 0.377
0.667 0.333 0.623
0.693 0.846 0.692
0.846 0.154 0.308
0.846 0.693 0.308
```

Computed properties:
Total energy, eV/cell: -67.7

[2]
A relaxed structure of K3Li2NpF9, computed with PBE-GGA.

```
K3Li2NpF9
1.0
5.912 0.000 0.000
-2.956 5.120 0.000
0.000 0.000 7.814
K Li Np F
3 2 1 9
direct
0.000 0.000 0.000
0.333 0.667 0.745
0.667 0.333 0.255
0.333 0.667 0.124
0.667 0.333 0.876
0.000 0.000 0.500
0.000 0.500 0.000
0.167 0.335 0.331
0.167 0.833 0.331
0.335 0.167 0.669
0.500 0.000 0.000
0.500 0.500 0.000
0.665 0.833 0.331
0.833 0.167 0.669
0.833 0.665 0.669
```

Computed properties:
Total energy, eV/cell: -82.6

[3]
A relaxed structure of KLiOF2, computed with PBE-GGA.

```
KLiOF2
1.0
4.171 0.000 0.000
0.000 4.171 0.000
0.000 0.000 3.873
K Li O F
1 1 1 2
direct
0.000 0.000 0.000
0.500 0.500 0.500
0.500 0.500 0.000
0.000 0.500 0.500
0.500 0.000 0.500
```

Computed properties:
Excess energy over the best structure of this formula in the dataset, meV/atom: 0